Below is crystalline NaBeAu4 at its relaxed geometry, with properties calculated at the PBE-GGA level.

The volume is 487 Å³ per cell. As for the total moment: 0.000 μB per formula unit. For the density, the calculation gives 11.184 g/cm3. For the density of states at the Fermi level, the calculation gives 0.13 states/eV per atom. As for the energy relative to the lowest polymorph listed for this composition: 0.00 kcal/mol of atoms. The value obtained for the electronic total energy is -77.5 eV for the cell shown. The formation energy is -0.202 eV/atom.

a = 5.778 Å, b = 11.458 Å, c = 7.355 Å
α = 90.00°, β = 90.10°, γ = 90.00°
Space group C2/c (No. 15)
Asymmetric unit:
Na: 0.000 0.059 0.250 [4 per cell]
Be: 0.000 0.456 0.250 [4 per cell]
Au: 0.000 0.382 0.556 [8 per cell]
Au: 0.238 0.200 0.750 [8 per cell]